[1]
The following is a PBE calculation of an optimized crystal structure of ThAu, from Alexandria via LeMat-Bulk.

a = 3.8554 Å, b = 4.5849 Å, c = 6.2395 Å
α = 90.00°, β = 107.80°, γ = 90.00°
With the nearest neighbours (Å) after each atom.
Atoms (fractional coordinates):
Th  0.1493  0.2500  0.7994  7 Au 3.12-3.31
Th  0.8507  0.7500  0.2006  7 Au 3.12-3.31
Au  0.4238  0.2500  0.3467  2 Au 2.93, 5 Th 3.12-3.25
Au  0.5762  0.7500  0.6533  2 Au 2.93, 5 Th 3.12-3.25

Results
**Calculated formation energy**: -1.2 eV/f.u.
**Final energy**: -5.955 eV per atom
**Spin magnetization**: 0.0 Bohr magnetons per cell
**DOS at the Fermi energy**: 5.1 states/eV per cell

***

[2]
The following is a PBE calculation of an optimized crystal structure of DyAgPd2, from Alexandria via LeMat-Bulk.

a = 3.9187 Å, b = 4.3187 Å, c = 4.3187 Å
α = 90.00°, β = 90.00°, γ = 90.00°
With the nearest neighbours (Å) after each atom.
Atoms (fractional coordinates):
Ag  0.5000  0.5000  0.5000  8 Pd 2.92, 4 Dy 3.05
Dy  0.5000  0.0000  0.0000  8 Pd 2.92, 4 Ag 3.05
Pd  0.0000  0.0000  0.5000  4 Dy 2.92, 4 Ag 2.92, 4 Pd 3.05
Pd  0.0000  0.5000  0.0000  4 Dy 2.92, 4 Ag 2.92, 4 Pd 3.05

Results
**Calculated formation energy**: -2.8 eV/f.u.
**Final energy**: -5.148 eV per atom
**Spin magnetization**: 0.0 Bohr magnetons per cell
**DOS at the Fermi energy**: 1.2 states/eV per cell

***

[3]
The following is a PBE calculation of an optimized crystal structure of NdMgAu2, from Alexandria via LeMat-Bulk.

a = 3.5097 Å, b = 3.5097 Å, c = 7.1132 Å
α = 90.00°, β = 90.00°, γ = 90.00°
With the nearest neighbours (Å) after each atom.
Atoms (fractional coordinates):
Au  0.0000  0.0000  0.2183  4 Mg 2.93, 1 Au 3.11, 4 Nd 3.19
Au  0.0000  0.0000  0.7817  4 Mg 2.93, 1 Au 3.11, 4 Nd 3.19
Nd  0.5000  0.5000  0.5000  8 Au 3.19, 4 Nd 3.51, 2 Mg 3.56
Mg  0.5000  0.5000  0.0000  8 Au 2.93

Results
**Calculated formation energy**: -2.7 eV/f.u.
**Final energy**: -3.899 eV per atom
**Spin magnetization**: 0.0 Bohr magnetons per cell
**DOS at the Fermi energy**: 2.5 states/eV per cell